1.
# BeSiCl

A geometry-optimized BeSiCl structure (PBE, the Alexandria database).

Cell lengths 6.0187, 6.0187, 6.0187 Å; angles 90.00, 90.00, 90.00 degrees
With the nearest neighbours (Å) after each atom.
Positions (direct):
1 Be 0.0000 0.0000 0.0000  4 Cl 2.61, 4 Si 2.61
2 Be 0.0000 0.5000 0.5000  4 Si 2.61, 4 Cl 2.61
3 Be 0.5000 0.0000 0.5000  4 Si 2.61, 4 Cl 2.61
4 Be 0.5000 0.5000 0.0000  4 Cl 2.61, 4 Si 2.61
5 Si 0.2500 0.2500 0.7500  4 Be 2.61
6 Si 0.2500 0.7500 0.2500  4 Be 2.61
7 Si 0.7500 0.2500 0.2500  4 Be 2.61
8 Si 0.7500 0.7500 0.7500  4 Be 2.61
9 Cl 0.2500 0.2500 0.2500  4 Be 2.61
10 Cl 0.2500 0.7500 0.7500  4 Be 2.61
11 Cl 0.7500 0.2500 0.7500  4 Be 2.61
12 Cl 0.7500 0.7500 0.2500  4 Be 2.61

As for the total moment: 1.0 μB/cell. Its raw formation energy is 0.9464 eV per atom. Its energy above the most stable polymorph in this dataset is 3.66 eV/f.u.

=====

2.
# Na4DyU3N8

A geometry-optimized Na4DyU3N8 structure (PBE, the Alexandria database).

Cell lengths 6.9646, 6.9646, 6.9646 Å; angles 60.26, 60.26, 60.26 degrees
With the nearest neighbours (Å) after each atom.
Positions (direct):
1 Na 0.0000 0.0000 0.0000  6 N 2.60
2 Na 0.0000 0.5000 0.5000  6 N 2.69-2.77
3 Na 0.5000 0.0000 0.5000  6 N 2.69-2.77
4 Na 0.5000 0.5000 0.0000  6 N 2.69-2.77
5 Dy 0.5000 0.5000 0.5000  6 N 2.40
6 U 0.0000 0.0000 0.5000  6 N 2.21-2.28
7 U 0.0000 0.5000 0.0000  6 N 2.21-2.28
8 U 0.5000 0.0000 0.0000  6 N 2.21-2.28
9 N 0.2034 0.7392 0.7392  2 U 2.21, 1 Dy 2.40
10 N 0.2287 0.2287 0.2287  3 U 2.28
11 N 0.2608 0.2608 0.7966  2 U 2.21, 1 Dy 2.40
12 N 0.2608 0.7966 0.2608  2 U 2.21, 1 Dy 2.40
13 N 0.7392 0.2034 0.7392  2 U 2.21, 1 Dy 2.40
14 N 0.7392 0.7392 0.2034  2 U 2.21, 1 Dy 2.40
15 N 0.7713 0.7713 0.7713  3 U 2.28
16 N 0.7966 0.2608 0.2608  2 U 2.21, 1 Dy 2.40

As for the total moment: 1.1 μB/cell. Its raw formation energy is -1.0773 eV per atom.

=====

3.
# Ac2CoAs4Ir3

A geometry-optimized Ac2CoAs4Ir3 structure (PBE, the Alexandria database).

Cell lengths 4.4381, 4.4381, 9.9355 Å; angles 90.00, 90.00, 90.00 degrees
With the nearest neighbours (Å) after each atom.
Positions (direct):
1 Ac 0.0000 0.5000 0.2493  8 As 3.33-3.37, 7 Ir 3.34-3.64, 2 Co 3.34
2 Ac 0.5000 0.0000 0.7507  8 As 3.33-3.37, 2 Co 3.34, 7 Ir 3.34-3.64
3 Co 0.0000 0.0000 0.5000  4 As 2.55
4 As 0.0000 0.0000 0.0000  4 Ir 2.51
5 As 0.0000 0.5000 0.6261  3 Ir 2.55, 2 Co 2.55
6 As 0.5000 0.0000 0.3739  3 Ir 2.55, 2 Co 2.55
7 As 0.5000 0.5000 0.0000  4 Ir 2.51
8 Ir 0.0000 0.5000 0.8826  5 As 2.51-2.55
9 Ir 0.5000 0.0000 0.1174  5 As 2.51-2.55
10 Ir 0.5000 0.5000 0.5000  4 As 2.55

As for the total moment: 1.4 μB/cell. For the formation energy, the calculation gives -725 meV per atom.

=====

4.
# BeReHg

A geometry-optimized BeReHg structure (PBE, the Alexandria database).

Cell lengths 2.7554, 3.1905, 10.2040 Å; angles 90.00, 90.00, 90.00 degrees
With the nearest neighbours (Å) after each atom.
Positions (direct):
1 Be 0.0000 0.0000 0.0000  4 Re 2.41
2 Be 0.5000 0.5000 0.5000  4 Re 2.41
3 Re 0.0000 0.0000 0.3863  4 Be 2.41
4 Re 0.5000 0.5000 0.8863  4 Be 2.41
5 Hg 0.0000 0.0000 0.6783  2 Hg 2.76, 4 Be 2.78, 5 Re 2.98-2.99
6 Hg 0.5000 0.5000 0.1783  2 Hg 2.76, 4 Be 2.78, 5 Re 2.98-2.99

As for the total moment: 0.0 μB/cell. For the formation energy, the calculation gives 582 meV per atom. Its energy above the most stable polymorph in this dataset is 0.00 eV/f.u.

=====

5.
# Cd2GePb2

A geometry-optimized Cd2GePb2 structure (PBE, the Alexandria database).

Cell lengths 7.3997, 7.3997, 4.9276 Å; angles 90.00, 90.00, 90.00 degrees
With the nearest neighbours (Å) after each atom.
Positions (direct):
1 Cd 0.1374 0.3626 0.0000  2 Ge 2.87, 1 Cd 2.88, 2 Pb 3.16
2 Cd 0.3626 0.8626 0.0000  2 Ge 2.87, 1 Cd 2.88, 2 Pb 3.16
3 Cd 0.6374 0.1374 0.0000  2 Ge 2.87, 1 Cd 2.88, 2 Pb 3.16
4 Cd 0.8626 0.6374 0.0000  2 Ge 2.87, 1 Cd 2.88, 2 Pb 3.16
5 Ge 0.0000 0.0000 0.0000  4 Cd 2.87
6 Ge 0.5000 0.5000 0.0000  4 Cd 2.87
7 Pb 0.1741 0.6741 0.5000  6 Cd 3.16-3.38
8 Pb 0.3259 0.1741 0.5000  6 Cd 3.16-3.38
9 Pb 0.6741 0.8259 0.5000  6 Cd 3.16-3.38
10 Pb 0.8259 0.3259 0.5000  6 Cd 3.16-3.38

As for the total moment: 0.0 μB/cell. For the formation energy, the calculation gives 152 meV per atom. Its energy above the most stable polymorph in this dataset is 0.00 eV/f.u.

=====

6.
# NaGe2PdPt

A geometry-optimized NaGe2PdPt structure (PBE, the Alexandria database).

Cell lengths 4.3373, 4.3373, 10.2109 Å; angles 90.00, 90.00, 90.00 degrees
With the nearest neighbours (Å) after each atom.
Positions (direct):
1 Na 0.0000 0.0000 0.0000  8 Ge 3.32, 4 Pt 3.35, 4 Pd 3.35
2 Na 0.5000 0.5000 0.5000  8 Ge 3.32, 4 Pt 3.35, 4 Pd 3.35
3 Ge 0.0000 0.0000 0.3744  2 Pd 2.51, 2 Pt 2.51, 1 Ge 2.56
4 Ge 0.0000 0.0000 0.6256  2 Pt 2.51, 2 Pd 2.51, 1 Ge 2.56
5 Ge 0.5000 0.5000 0.1256  2 Pt 2.51, 2 Pd 2.51, 1 Ge 2.56
6 Ge 0.5000 0.5000 0.8744  2 Pd 2.51, 2 Pt 2.51, 1 Ge 2.56
7 Pd 0.0000 0.5000 0.2500  4 Ge 2.51
8 Pd 0.5000 0.0000 0.7500  4 Ge 2.51
9 Pt 0.0000 0.5000 0.7500  4 Ge 2.51
10 Pt 0.5000 0.0000 0.2500  4 Ge 2.51

As for the total moment: 0.0 μB/cell. For the formation energy, the calculation gives -454 meV per atom.

=====

7.
# NaHo2Cu2S4

A geometry-optimized NaHo2Cu2S4 structure (PBE, the Alexandria database).

Cell lengths 7.3143, 7.3143, 7.2098 Å; angles 114.62, 114.62, 28.48 degrees
With the nearest neighbours (Å) after each atom.
Positions (direct):
1 Na 0.0000 0.0000 0.0000  6 S 2.76-2.82
2 Ho 0.1285 0.1285 0.5638  7 S 2.75-2.94, 1 Cu 3.00
3 Ho 0.8715 0.8715 0.4362  7 S 2.75-2.94, 1 Cu 3.00
4 Cu 0.3132 0.3132 0.9751  3 S 2.33-2.40
5 Cu 0.6868 0.6868 0.0249  3 S 2.33-2.40
6 S 0.2101 0.2101 0.2609  2 Cu 2.40
7 S 0.4699 0.4699 0.2715  1 Cu 2.33
8 S 0.5301 0.5301 0.7285  1 Cu 2.33
9 S 0.7899 0.7899 0.7391  2 Cu 2.40

As for the total moment: 0.0 μB/cell. Its raw formation energy is -1.1929 eV per atom.

=====

8.
# Rb3Sc3AlSe8

A geometry-optimized Rb3Sc3AlSe8 structure (PBE, the Alexandria database).

Cell lengths 7.7875, 7.7875, 9.3800 Å; angles 114.55, 114.55, 59.95 degrees
With the nearest neighbours (Å) after each atom.
Positions (direct):
1 Rb 0.0000 0.0000 0.0000  6 Se 3.41-3.44
2 Rb 0.0000 0.5000 0.0000  6 Se 3.41-3.44
3 Rb 0.5000 0.0000 0.0000  6 Se 3.41-3.44
4 Sc 0.0000 0.5000 0.5000  6 Se 2.72-2.73
5 Sc 0.5000 0.0000 0.5000  6 Se 2.72-2.73
6 Sc 0.5000 0.5000 0.5000  6 Se 2.72-2.73
7 Al 0.0000 0.0000 0.5000  6 Se 2.63-2.64
8 Se 0.2217 0.2217 0.6807  1 Al 2.64, 2 Sc 2.72
9 Se 0.2216 0.7376 0.6806  1 Al 2.63, 2 Sc 2.72-2.73
10 Se 0.2624 0.7784 0.3194  1 Al 2.63, 2 Sc 2.72-2.73
11 Se 0.2705 0.2705 0.3119  3 Sc 2.73
12 Se 0.7295 0.7295 0.6881  3 Sc 2.73
13 Se 0.7376 0.2216 0.6806  1 Al 2.63, 2 Sc 2.72-2.73
14 Se 0.7784 0.2624 0.3194  1 Al 2.63, 2 Sc 2.72-2.73
15 Se 0.7783 0.7783 0.3193  1 Al 2.64, 2 Sc 2.72

As for the total moment: 0.0 μB/cell. Its raw formation energy is -1.3721 eV per atom.

=====

9.
# Li5Ir

A geometry-optimized Li5Ir structure (PBE, the Alexandria database).

Cell lengths 9.1297, 2.5516, 9.0457 Å; angles 90.00, 116.40, 90.00 degrees
With the nearest neighbours (Å) after each atom.
Positions (direct):
1 Li 0.0000 0.0000 0.0000  2 Li 2.55
2 Li 0.1535 0.5000 0.7969  3 Li 2.55-2.64, 2 Ir 2.73
3 Li 0.1698 0.5000 0.3573  5 Li 2.55-2.66, 3 Ir 2.70-2.73
4 Li 0.3302 0.0000 0.6427  5 Li 2.55-2.66, 3 Ir 2.70-2.73
5 Li 0.3465 0.0000 0.2031  3 Li 2.55-2.64, 2 Ir 2.73
6 Li 0.5000 0.5000 0.0000  2 Li 2.55
7 Li 0.6535 0.0000 0.7969  3 Li 2.55-2.64, 2 Ir 2.73
8 Li 0.6698 0.0000 0.3573  5 Li 2.55-2.66, 3 Ir 2.70-2.73
9 Li 0.8302 0.5000 0.6427  5 Li 2.55-2.66, 3 Ir 2.70-2.73
10 Li 0.8465 0.5000 0.2031  3 Li 2.55-2.64, 2 Ir 2.73
11 Ir 0.0000 0.0000 0.5000  2 Ir 2.55, 10 Li 2.70-2.73
12 Ir 0.5000 0.5000 0.5000  2 Ir 2.55, 10 Li 2.70-2.73

As for the total moment: 0.0 μB/cell. For the formation energy, the calculation gives -59 meV per atom. Its energy above the most stable polymorph in this dataset is 0.00 eV/f.u.

=====

10.
# Li3ErNi8

A geometry-optimized Li3ErNi8 structure (PBE, the Alexandria database).

Cell lengths 8.3092, 8.3092, 8.3092 Å; angles 33.63, 33.63, 33.63 degrees
With the nearest neighbours (Å) after each atom.
Positions (direct):
1 Li 0.0000 0.0000 0.0000  9 Ni 2.72-2.86, 1 Li 2.73, 3 Er 3.03
2 Li 0.1163 0.1163 0.1163  4 Li 2.73-2.90, 12 Ni 2.76-2.81
3 Li 0.4853 0.4853 0.4853  12 Ni 2.68-2.86, 3 Li 2.90
4 Er 0.6155 0.6155 0.6155  12 Ni 2.82-2.84, 4 Li 3.03-3.06
5 Ni 0.0516 0.0516 0.5502  6 Ni 2.37-2.44
6 Ni 0.0516 0.5502 0.0516  6 Ni 2.37-2.44
7 Ni 0.0556 0.5535 0.5535  6 Ni 2.37-2.41
8 Ni 0.3034 0.3034 0.3034  6 Ni 2.41-2.44
9 Ni 0.5502 0.0516 0.0516  6 Ni 2.37-2.44
10 Ni 0.5535 0.0556 0.5535  6 Ni 2.37-2.41
11 Ni 0.5535 0.5535 0.0556  6 Ni 2.37-2.41
12 Ni 0.8026 0.8026 0.8026  6 Ni 2.37

As for the total moment: 0.0 μB/cell. For the formation energy, the calculation gives -191 meV per atom.

=====

11.
# Ti4AuN

A geometry-optimized Ti4AuN structure (PBE, the Alexandria database).

Cell lengths 7.4413, 4.7503, 6.1887 Å; angles 90.00, 113.10, 90.00 degrees
With the nearest neighbours (Å) after each atom.
Positions (direct):
1 Ti 0.1147 0.2482 0.3032  2 N 2.10
2 Ti 0.1147 0.2518 0.8032  2 N 2.10
3 Ti 0.2337 0.7396 0.6132  1 N 2.02
4 Ti 0.2337 0.7604 0.1132  1 N 2.02
5 Ti 0.7663 0.2396 0.8868  1 N 2.02
6 Ti 0.7663 0.2604 0.3868  1 N 2.02
7 Ti 0.8853 0.7482 0.1968  2 N 2.10
8 Ti 0.8853 0.7518 0.6968  2 N 2.10
9 Au 0.5000 0.0000 0.5000  6 Ti 2.65-2.89
10 Au 0.5000 0.5000 0.0000  6 Ti 2.65-2.89
11 N 0.0000 0.0000 0.5000  6 Ti 2.02-2.10
12 N 0.0000 0.5000 0.0000  6 Ti 2.02-2.10

As for the total moment: 0.0 μB/cell. Its raw formation energy is -0.5362 eV per atom. Its energy above the most stable polymorph in this dataset is 0.00 eV/f.u.

=====

12.
# La2TbTa

A geometry-optimized La2TbTa structure (PBE, the Alexandria database).

Cell lengths 3.2875, 3.2875, 36.8454 Å; angles 90.00, 90.00, 120.00 degrees
With the nearest neighbours (Å) after each atom.
Positions (direct):
1 La 0.0000 0.0000 0.0790  1 Ta 2.91
2 La 0.0000 0.0000 0.9210  1 Ta 2.91
3 La 0.3333 0.6667 0.5877  1 Ta 2.91
4 La 0.3333 0.6667 0.7456  1 Ta 2.91
5 La 0.6667 0.3333 0.2544  1 Ta 2.91
6 La 0.6667 0.3333 0.4123  1 Ta 2.91
7 Tb 0.0000 0.0000 0.5000  6 Tb 3.29
8 Tb 0.3333 0.6667 0.1667  6 Tb 3.29
9 Tb 0.6667 0.3333 0.8333  6 Tb 3.29
10 Ta 0.0000 0.0000 0.0000  2 La 2.91
11 Ta 0.3333 0.6667 0.6667  2 La 2.91
12 Ta 0.6667 0.3333 0.3333  2 La 2.91

As for the total moment: 0.0 μB/cell. For the formation energy, the calculation gives 642 meV per atom.

=====

Copy entry 4 word for word.
# BeReHg

A geometry-optimized BeReHg structure (PBE, the Alexandria database).

Cell lengths 2.7554, 3.1905, 10.2040 Å; angles 90.00, 90.00, 90.00 degrees
With the nearest neighbours (Å) after each atom.
Positions (direct):
1 Be 0.0000 0.0000 0.0000  4 Re 2.41
2 Be 0.5000 0.5000 0.5000  4 Re 2.41
3 Re 0.0000 0.0000 0.3863  4 Be 2.41
4 Re 0.5000 0.5000 0.8863  4 Be 2.41
5 Hg 0.0000 0.0000 0.6783  2 Hg 2.76, 4 Be 2.78, 5 Re 2.98-2.99
6 Hg 0.5000 0.5000 0.1783  2 Hg 2.76, 4 Be 2.78, 5 Re 2.98-2.99

As for the total moment: 0.0 μB/cell. For the formation energy, the calculation gives 582 meV per atom. Its energy above the most stable polymorph in this dataset is 0.00 eV/f.u.

=====

Q: What is the formula in the first record?
A: BeSiCl

=====

Q: Number 11 is which compound?
A: Ti4AuN